No. 1
The following is a GGA-PBEsol calculation of an optimized crystal structure of BeZnTc2, from the Alexandria database.

Values from the calculation:
Formation enthalpy at 0 K in meV per atom: 177

a = 2.5581 Å, b = 4.7915 Å, c = 4.7915 Å
α = 115.83°, β = 98.07°, γ = 98.07°
Positions (direct):
Zn: 0.5000 0.0000 0.0000
Tc: 0.0000 0.0000 0.5000
Tc: 0.0000 0.5000 0.0000
Be: 0.5000 0.5000 0.5000

***

No. 2
The following is a GGA-PBEsol calculation of an optimized crystal structure of YMg2Cu, from the Alexandria database.

Values from the calculation:
Formation enthalpy at 0 K in meV per atom: 40

a = 3.4413 Å, b = 4.7683 Å, c = 5.3591 Å
α = 90.00°, β = 102.68°, γ = 90.00°
Positions (direct):
Cu: 0.0000 0.5000 0.5000
Y: 0.5000 0.5000 0.0000
Mg: 0.1474 0.0000 0.2784
Mg: 0.8526 0.0000 0.7216

***

No. 3
The following is a GGA-PBEsol calculation of an optimized crystal structure of TiNbFe4, from the Alexandria database.

Values from the calculation:
Formation enthalpy at 0 K in meV per atom: -242

a = 4.6669 Å, b = 4.6669 Å, c = 7.6929 Å
α = 90.00°, β = 90.00°, γ = 120.00°
Positions (direct):
Fe: 0.0000 0.0000 0.5000
Fe: 0.3413 0.1706 0.2475
Fe: 0.1706 0.3413 0.7525
Fe: 0.6587 0.8294 0.7525
Fe: 0.1706 0.8294 0.7525
Fe: 0.0000 0.0000 0.0000
Fe: 0.8294 0.6587 0.2475
Fe: 0.8294 0.1706 0.2475
Nb: 0.3333 0.6667 0.4286
Nb: 0.6667 0.3333 0.5714
Ti: 0.6667 0.3333 0.9404
Ti: 0.3333 0.6667 0.0596

***

No. 4
The following is a GGA-PBEsol calculation of an optimized crystal structure of NbSnOsSe2, from the Alexandria database.

Values from the calculation:
Formation energy from raw total energies in meV/atom: 1252

a = 4.8140 Å, b = 4.8140 Å, c = 5.5427 Å
α = 90.00°, β = 90.00°, γ = 90.00°
Positions (direct):
Sn: 0.0000 0.0000 0.5000
Os: 0.5000 0.5000 0.5000
Nb: 0.0000 0.0000 0.0000
Se: 0.0000 0.5000 0.0000
Se: 0.5000 0.0000 0.0000

***

No. 5
The following is a GGA-PBEsol calculation of an optimized crystal structure of CaTiFe3, from the Alexandria database.

Values from the calculation:
Formation enthalpy at 0 K in meV per atom: 808

a = 4.4043 Å, b = 4.4043 Å, c = 4.4043 Å
α = 90.00°, β = 90.00°, γ = 90.00°
Positions (direct):
Fe: 0.5000 0.0000 0.0000
Fe: 0.0000 0.0000 0.5000
Fe: 0.0000 0.5000 0.0000
Ca: 0.5000 0.5000 0.5000
Ti: 0.0000 0.0000 0.0000

***

No. 6
The following is a GGA-PBEsol calculation of an optimized crystal structure of BaH4Cl2O2, from the Alexandria database.

Values from the calculation:
Total energy in eV/cell: -174.68

a = 5.9702 Å, b = 8.1750 Å, c = 11.1383 Å
α = 90.00°, β = 90.00°, γ = 89.46°
Positions (direct):
O: 0.8861 0.6211 0.1540
O: 0.2511 0.9962 0.8833
O: 0.2511 0.4962 0.6167
O: 0.1139 0.8789 0.6540
O: 0.7489 0.5038 0.3833
O: 0.1139 0.3789 0.8460
O: 0.7489 0.0038 0.1167
O: 0.8861 0.1211 0.3460
Cl: 0.6159 0.3395 0.8913
Cl: 0.3841 0.6605 0.1087
Cl: 0.8402 0.7796 0.9019
Cl: 0.6159 0.8395 0.6087
Cl: 0.1598 0.2204 0.0981
Cl: 0.1598 0.7204 0.4019
Cl: 0.3841 0.1605 0.3913
Cl: 0.8402 0.2796 0.5981
H: 0.2631 0.0611 0.9587
H: 0.2631 0.5611 0.5413
H: 0.8510 0.1661 0.4272
H: 0.1490 0.8339 0.5728
H: 0.9063 0.5439 0.3850
H: 0.9063 0.0439 0.1150
H: 0.8510 0.6661 0.0728
H: 0.1490 0.3339 0.9272
H: 0.0536 0.1249 0.3439
H: 0.9464 0.8751 0.6561
H: 0.0937 0.9561 0.8850
H: 0.0536 0.6249 0.1561
H: 0.0937 0.4561 0.6150
H: 0.9464 0.3751 0.8439
H: 0.7369 0.9389 0.0413
H: 0.7369 0.4389 0.4587
Ba: 0.3552 0.1685 0.6761
Ba: 0.6448 0.8315 0.3239
Ba: 0.3552 0.6685 0.8239
Ba: 0.6448 0.3315 0.1761

***

Number 1: D(E_F) 2.696 states/eV/cell. Number 2: D(E_F) 3.305 states/eV/cell. Number 3: D(E_F) 13.094 states/eV/cell. Number 4: D(E_F) 5.106 states/eV/cell. Number 5: D(E_F) 6.647 states/eV/cell. Number 6: D(E_F) 0.000 states/eV/cell.